Li2ScMnF6: optimized geometry, PBE with a Hubbard U.

Structure (POSCAR):
```
Li2ScMnF6
1.0
5.440 0.000 -0.002
-2.720 4.713 0.000
-2.720 -1.571 4.643
F Li Mn Sc
6 2 1 1
Cartesian
2.041 0.108 0.803
-1.846 -0.129 3.244
0.855 1.730 3.242
-1.606 3.174 3.244
1.838 2.955 0.801
-1.036 1.710 0.802
0.041 0.022 3.829
0.042 3.162 1.671
-2.679 1.591 2.285
0.041 0.021 0.049
```

Space-group type   R3
Theoretical density   3.178 g cm⁻³
Raw total energy   -5.81 eV/atom